(1)
## MgTcAu4 (PBEsol)

Data for a relaxed MgTcAu4 crystal.

```
data_MgTcAu4
_chemical_formula_sum 'Mg4 Tc4 Au16'
_cell_length_a 7.5918
_cell_length_b 7.5918
_cell_length_c 7.5918
_cell_angle_alpha 90.00
_cell_angle_beta 90.00
_cell_angle_gamma 90.00
_space_group_name_H-M_alt 'F -4 3 m'
_space_group_IT_number 216
_space_group_name_Hall 'F -4 2 3'
loop_
_atom_site_label
_atom_site_type_symbol
_atom_site_fract_x
_atom_site_fract_y
_atom_site_fract_z
Mg1 Mg 0.0000 0.0000 0.0000
Tc1 Tc 0.2500 0.2500 0.7500
Au1 Au 0.1249 0.1249 0.3751
```

Output
DFT formation energy   0.310 eV per atom
Total DFT energy (no corrections)   -4.470 eV/atom

(2)
## MgTc2Au (PBEsol)

Data for a relaxed MgTc2Au crystal.

```
data_MgTc2Au
_chemical_formula_sum 'Mg4 Tc8 Au4'
_cell_length_a 6.2420
_cell_length_b 6.2420
_cell_length_c 6.2420
_cell_angle_alpha 90.00
_cell_angle_beta 90.00
_cell_angle_gamma 90.00
_space_group_name_H-M_alt 'F -4 3 m'
_space_group_IT_number 216
_space_group_name_Hall 'F -4 2 3'
loop_
_atom_site_label
_atom_site_type_symbol
_atom_site_fract_x
_atom_site_fract_y
_atom_site_fract_z
Mg1 Mg 0.0000 0.0000 0.0000
Tc1 Tc 0.0000 0.0000 0.5000
Tc2 Tc 0.2500 0.2500 0.7500
Au1 Au 0.2500 0.2500 0.2500
```

Output
DFT formation energy   0.236 eV per atom
Distance to the lowest polymorph of the same formula   24.8 kJ per mole of atoms
Total DFT energy (no corrections)   -6.808 eV/atom

(3)
## MgTc2Au (PBEsol)

Data for a relaxed MgTc2Au crystal.

```
data_MgTc2Au
_chemical_formula_sum 'Mg1 Tc2 Au1'
_cell_length_a 2.8222
_cell_length_b 3.7881
_cell_length_c 5.8051
_cell_angle_alpha 90.00
_cell_angle_beta 90.00
_cell_angle_gamma 90.00
_space_group_name_H-M_alt 'P m m 2'
_space_group_IT_number 25
_space_group_name_Hall 'P 2 -2'
loop_
_atom_site_label
_atom_site_type_symbol
_atom_site_fract_x
_atom_site_fract_y
_atom_site_fract_z
Mg1 Mg 0.0000 0.0000 0.0000
Tc1 Tc 0.0000 0.0000 0.4734
Tc2 Tc 0.5000 0.5000 0.2925
Au1 Au 0.5000 0.5000 0.7711
```

Output
DFT formation energy   0.074 eV per atom
Distance to the lowest polymorph of the same formula   9.1 kJ per mole of atoms
Total DFT energy (no corrections)   -6.970 eV/atom

(4)
## Mg3TcAu (PBEsol)

Data for a relaxed Mg3TcAu crystal.

```
data_Mg3TcAu
_chemical_formula_sum 'Mg3 Tc1 Au1'
_cell_length_a 4.8703
_cell_length_b 4.8703
_cell_length_c 4.8703
_cell_angle_alpha 90.00
_cell_angle_beta 90.00
_cell_angle_gamma 90.00
_space_group_name_H-M_alt 'P m -3 m'
_space_group_IT_number 221
_space_group_name_Hall '-P 4 2 3'
loop_
_atom_site_label
_atom_site_type_symbol
_atom_site_fract_x
_atom_site_fract_y
_atom_site_fract_z
Mg1 Mg 0.0000 0.0000 0.5000
Tc1 Tc 0.0000 0.0000 0.0000
Au1 Au 0.5000 0.5000 0.5000
```

Output
DFT formation energy   0.990 eV per atom
Total DFT energy (no corrections)   -3.078 eV/atom

(5)
## MgTeAu2 (PBEsol)

Data for a relaxed MgTeAu2 crystal.

```
data_MgTeAu2
_chemical_formula_sum 'Mg4 Te4 Au8'
_cell_length_a 6.8504
_cell_length_b 6.8504
_cell_length_c 6.8504
_cell_angle_alpha 90.00
_cell_angle_beta 90.00
_cell_angle_gamma 90.00
_space_group_name_H-M_alt 'F m -3 m'
_space_group_IT_number 225
_space_group_name_Hall '-F 4 2 3'
loop_
_atom_site_label
_atom_site_type_symbol
_atom_site_fract_x
_atom_site_fract_y
_atom_site_fract_z
Mg1 Mg 0.0000 0.0000 0.0000
Te1 Te 0.0000 0.0000 0.5000
Au1 Au 0.2500 0.2500 0.2500
```

Output
Formation energy from raw total energies   -134 meV per atom
Total DFT energy (no corrections)   -3.406 eV/atom

(6)
## MgTeAu2 (PBEsol)

Data for a relaxed MgTeAu2 crystal.

```
data_MgTeAu2
_chemical_formula_sum 'Mg2 Te2 Au4'
_cell_length_a 5.6637
_cell_length_b 6.6234
_cell_length_c 4.2509
_cell_angle_alpha 90.00
_cell_angle_beta 90.00
_cell_angle_gamma 90.00
_space_group_name_H-M_alt 'C m m m'
_space_group_IT_number 65
_space_group_name_Hall '-C 2 2'
loop_
_atom_site_label
_atom_site_type_symbol
_atom_site_fract_x
_atom_site_fract_y
_atom_site_fract_z
Mg1 Mg 0.0000 0.0000 0.0000
Te1 Te 0.0000 0.5000 0.0000
Au1 Au 0.2500 0.2500 0.5000
```

Output
Formation energy from raw total energies   -194 meV per atom
Total DFT energy (no corrections)   -3.467 eV/atom

(7)
## MgTeAu2 (PBEsol)

Data for a relaxed MgTeAu2 crystal.

```
data_MgTeAu2
_chemical_formula_sum 'Mg2 Te2 Au4'
_cell_length_a 4.2134
_cell_length_b 4.2134
_cell_length_c 8.9023
_cell_angle_alpha 90.00
_cell_angle_beta 90.00
_cell_angle_gamma 90.00
_space_group_name_H-M_alt 'I -4 m 2'
_space_group_IT_number 119
_space_group_name_Hall 'I -4 -2'
loop_
_atom_site_label
_atom_site_type_symbol
_atom_site_fract_x
_atom_site_fract_y
_atom_site_fract_z
Mg1 Mg 0.0000 0.0000 0.0000
Te1 Te 0.0000 0.5000 0.2500
Au1 Au 0.0000 0.0000 0.5000
Au2 Au 0.0000 0.5000 0.7500
```

Output
Formation energy from raw total energies   -163 meV per atom
Total DFT energy (no corrections)   -3.435 eV/atom

(8)
## MgTiAu3 (PBEsol)

Data for a relaxed MgTiAu3 crystal.

```
data_MgTiAu3
_chemical_formula_sum 'Mg1 Ti1 Au3'
_cell_length_a 4.8939
_cell_length_b 4.8939
_cell_length_c 4.8939
_cell_angle_alpha 90.00
_cell_angle_beta 90.00
_cell_angle_gamma 90.00
_space_group_name_H-M_alt 'P m -3 m'
_space_group_IT_number 221
_space_group_name_Hall '-P 4 2 3'
loop_
_atom_site_label
_atom_site_type_symbol
_atom_site_fract_x
_atom_site_fract_y
_atom_site_fract_z
Mg1 Mg 0.0000 0.0000 0.0000
Ti1 Ti 0.5000 0.5000 0.5000
Au1 Au 0.0000 0.5000 0.5000
```

Output
DFT formation energy   0.460 eV per atom
Total DFT energy (no corrections)   -3.902 eV/atom

(9)
## MgTi3Au (PBEsol)

Data for a relaxed MgTi3Au crystal.

```
data_MgTi3Au
_chemical_formula_sum 'Mg1 Ti3 Au1'
_cell_length_a 4.6160
_cell_length_b 4.6160
_cell_length_c 4.6160
_cell_angle_alpha 90.00
_cell_angle_beta 90.00
_cell_angle_gamma 90.00
_space_group_name_H-M_alt 'P m -3 m'
_space_group_IT_number 221
_space_group_name_Hall '-P 4 2 3'
loop_
_atom_site_label
_atom_site_type_symbol
_atom_site_fract_x
_atom_site_fract_y
_atom_site_fract_z
Mg1 Mg 0.0000 0.0000 0.0000
Ti1 Ti 0.0000 0.0000 0.5000
Au1 Au 0.5000 0.5000 0.5000
```

Output
DFT formation energy   1.278 eV per atom
Total DFT energy (no corrections)   -4.844 eV/atom

(10)
## MgTlAu2 (PBEsol)

Data for a relaxed MgTlAu2 crystal.

```
data_MgTlAu2
_chemical_formula_sum 'Mg1 Tl1 Au2'
_cell_length_a 3.5856
_cell_length_b 3.5856
_cell_length_c 6.0413
_cell_angle_alpha 90.00
_cell_angle_beta 90.00
_cell_angle_gamma 90.00
_space_group_name_H-M_alt 'P 4 m m'
_space_group_IT_number 99
_space_group_name_Hall 'P 4 -2'
loop_
_atom_site_label
_atom_site_type_symbol
_atom_site_fract_x
_atom_site_fract_y
_atom_site_fract_z
Mg1 Mg 0.0000 0.0000 0.0000
Tl1 Tl 0.5000 0.5000 0.3044
Au1 Au 0.0000 0.0000 0.5477
Au2 Au 0.5000 0.5000 0.8026
```

Output
DFT formation energy   -0.191 eV per atom
Total DFT energy (no corrections)   -3.240 eV/atom

(11)
## Mg2TlAu (PBEsol)

Data for a relaxed Mg2TlAu crystal.

```
data_Mg2TlAu
_chemical_formula_sum 'Mg2 Tl1 Au1'
_cell_length_a 3.3397
_cell_length_b 3.3397
_cell_length_c 7.2777
_cell_angle_alpha 90.00
_cell_angle_beta 90.00
_cell_angle_gamma 90.00
_space_group_name_H-M_alt 'P 4/m m m'
_space_group_IT_number 123
_space_group_name_Hall '-P 4 2'
loop_
_atom_site_label
_atom_site_type_symbol
_atom_site_fract_x
_atom_site_fract_y
_atom_site_fract_z
Mg1 Mg 0.0000 0.0000 0.2123
Tl1 Tl 0.5000 0.5000 0.5000
Au1 Au 0.5000 0.5000 0.0000
```

Output
DFT formation energy   -0.339 eV per atom
Total DFT energy (no corrections)   -2.836 eV/atom

(12)
## MgTlAu2 (PBEsol)

Data for a relaxed MgTlAu2 crystal.

```
data_MgTlAu2
_chemical_formula_sum 'Mg1 Tl1 Au2'
_cell_length_a 3.3804
_cell_length_b 4.4244
_cell_length_c 5.6180
_cell_angle_alpha 90.00
_cell_angle_beta 106.22
_cell_angle_gamma 90.00
_space_group_name_H-M_alt 'P 1 m 1'
_space_group_IT_number 6
_space_group_name_Hall 'P -2y'
loop_
_atom_site_label
_atom_site_type_symbol
_atom_site_fract_x
_atom_site_fract_y
_atom_site_fract_z
Mg1 Mg 0.0000 0.0000 0.0000
Tl1 Tl 0.7040 0.5000 0.3861
Au1 Au 0.2803 0.0000 0.5522
Au2 Au 0.4424 0.5000 0.8718
```

Output
DFT formation energy   -0.237 eV per atom
Total DFT energy (no corrections)   -3.285 eV/atom

(13)
## Mg2TlAu (PBEsol)

Data for a relaxed Mg2TlAu crystal.

```
data_Mg2TlAu
_chemical_formula_sum 'Mg4 Tl2 Au2'
_cell_length_a 9.0339
_cell_length_b 3.4126
_cell_length_c 5.6617
_cell_angle_alpha 90.00
_cell_angle_beta 103.97
_cell_angle_gamma 90.00
_space_group_name_H-M_alt 'C 1 2/m 1'
_space_group_IT_number 12
_space_group_name_Hall '-C 2y'
loop_
_atom_site_label
_atom_site_type_symbol
_atom_site_fract_x
_atom_site_fract_y
_atom_site_fract_z
Mg1 Mg 0.2375 0.0000 0.2211
Tl1 Tl 0.0000 0.0000 0.5000
Au1 Au 0.0000 0.5000 0.0000
```

Output
DFT formation energy   -0.214 eV per atom
Total DFT energy (no corrections)   -2.711 eV/atom

(14)
## MgTlAu2 (PBEsol)

Data for a relaxed MgTlAu2 crystal.

```
data_MgTlAu2
_chemical_formula_sum 'Mg2 Tl2 Au4'
_cell_length_a 9.4220
_cell_length_b 3.7128
_cell_length_c 4.6521
_cell_angle_alpha 90.00
_cell_angle_beta 106.92
_cell_angle_gamma 90.00
_space_group_name_H-M_alt 'C 1 m 1'
_space_group_IT_number 8
_space_group_name_Hall 'C -2y'
loop_
_atom_site_label
_atom_site_type_symbol
_atom_site_fract_x
_atom_site_fract_y
_atom_site_fract_z
Mg1 Mg 0.0000 0.0000 0.0000
Tl1 Tl 0.2353 0.0000 0.6882
Au1 Au 0.2366 0.5000 0.1873
Au2 Au 0.4841 0.0000 0.4509
```

Output
DFT formation energy   -0.212 eV per atom
Total DFT energy (no corrections)   -3.261 eV/atom

(15)
## MgTlAu2 (PBEsol)

Data for a relaxed MgTlAu2 crystal.

```
data_MgTlAu2
_chemical_formula_sum 'Mg1 Tl1 Au2'
_cell_length_a 3.4086
_cell_length_b 3.4086
_cell_length_c 6.6842
_cell_angle_alpha 90.00
_cell_angle_beta 90.00
_cell_angle_gamma 90.00
_space_group_name_H-M_alt 'P 4/m m m'
_space_group_IT_number 123
_space_group_name_Hall '-P 4 2'
loop_
_atom_site_label
_atom_site_type_symbol
_atom_site_fract_x
_atom_site_fract_y
_atom_site_fract_z
Mg1 Mg 0.0000 0.0000 0.0000
Tl1 Tl 0.0000 0.0000 0.5000
Au1 Au 0.5000 0.5000 0.2152
```

Output
DFT formation energy   -0.282 eV per atom
Total DFT energy (no corrections)   -3.331 eV/atom